The following is a GGA-PBE calculation of Ce3As2I after structural relaxation, from Alexandria via LeMat-Bulk.

a b c (Å): 4.2559 4.2559 22.1451
angles (deg): 90.00 90.00 120.00
Positions (direct):
As 0.3333 0.6667 0.9227
Ce 0.3333 0.6667 0.1484
Ce 0.3333 0.6667 0.3516
I 0.0000 0.0000 0.2500
Ce 0.6667 0.3333 0.8516
I 0.0000 0.0000 0.7500
Ce 0.6667 0.3333 0.6484
As 0.6667 0.3333 0.0773
Ce 0.0000 0.0000 0.0000
As 0.3333 0.6667 0.5773
Ce 0.0000 0.0000 0.5000
As 0.6667 0.3333 0.4227

Its symmetry is No. 194. The value obtained for the size of the total moment is 6.436 μB per cell. The total energy is -6.041 eV per atom.


The following is a GGA-PBE calculation of UFe4Tc after structural relaxation, from Alexandria via LeMat-Bulk.

a b c (Å): 4.8689 4.8689 4.8689
angles (deg): 60.00 60.00 60.00
Positions (direct):
Fe 0.6262 0.1213 0.6262
Fe 0.6262 0.6262 0.1213
Tc 0.0000 0.0000 0.0000
Fe 0.6262 0.6262 0.6262
Fe 0.1213 0.6262 0.6262
U 0.2500 0.2500 0.2500

As for the formation energy from the elements: 0.0902 eV/atom. Its symmetry is No. 216. The value obtained for the size of the total moment is 6.887 μB per cell. The total energy is -9.161 eV per atom.


The following is a GGA-PBE calculation of CsPb3Au2 after structural relaxation, from Alexandria via LeMat-Bulk.

a b c (Å): 4.9139 10.0680 12.2525
angles (deg): 104.65 90.00 104.12
Positions (direct):
Cs 0.8400 0.6799 0.2920
Pb 0.0387 0.0773 0.3478
Au 0.4614 0.9228 0.2081
Cs 0.0000 0.0000 0.0000
Pb 0.5000 0.0000 0.5000
Pb 0.3216 0.6432 0.0261
Au 0.1968 0.3936 0.1237
Pb 0.6200 0.2400 0.2046
Cs 0.1600 0.3201 0.7080
Pb 0.9613 0.9227 0.6522
Au 0.3535 0.7069 0.5425
Au 0.8032 0.6064 0.8763
Au 0.5386 0.0772 0.7919
Pb 0.2105 0.4209 0.3801
Pb 0.6784 0.3568 0.9739
Au 0.6465 0.2931 0.4575
Pb 0.3800 0.7600 0.7954
Pb 0.7895 0.5791 0.6199

As for the formation energy from the elements: -0.1475 eV/atom. Its symmetry is No. 12. The distance to the lowest polymorph of the same formula is 0.000 eV/atom. The value obtained for the size of the total moment is 0.000 μB per cell. The total energy is -3.236 eV per atom.


The following is a GGA-PBE calculation of TaInS2 after structural relaxation, from Alexandria via LeMat-Bulk.

a b c (Å): 3.3243 3.3243 17.9488
angles (deg): 90.00 90.00 120.00
Positions (direct):
S 0.0000 0.0000 0.1626
Ta 0.3333 0.6667 0.2500
S 0.0000 0.0000 0.8374
In 0.0000 0.0000 0.0000
In 0.0000 0.0000 0.5000
S 0.0000 0.0000 0.6626
S 0.0000 0.0000 0.3374
Ta 0.6667 0.3333 0.7500

Its symmetry is No. 194. The value obtained for the size of the total moment is 0.000 μB per cell. The total energy is -6.579 eV per atom.


The following is a GGA-PBE calculation of Si23Xe3 after structural relaxation, from Alexandria via LeMat-Bulk.

a b c (Å): 10.3790 10.3790 10.3790
angles (deg): 90.00 90.00 90.00
Positions (direct):
Xe 0.5000 0.2500 0.0000
Si 0.3816 0.5000 0.1954
Si 0.8162 0.8162 0.8162
Xe 0.5000 0.7500 0.0000
Si 0.0000 0.7500 0.5000
Si 0.6838 0.6838 0.3162
Si 0.0000 0.8816 0.3046
Si 0.1838 0.8162 0.1838
Si 0.1184 0.3046 0.0000
Xe 0.2500 0.0000 0.5000
Si 0.3162 0.3162 0.3162
Si 0.8816 0.6954 0.0000
Si 0.6838 0.3162 0.6838
Si 0.5000 0.8046 0.3816
Si 0.5000 0.1954 0.3816
Si 0.8162 0.1838 0.8162
Si 0.0000 0.8816 0.6954
Si 0.3162 0.6838 0.6838
Si 0.6184 0.5000 0.1954
Si 0.6954 0.0000 0.8816
Xe 0.7500 0.0000 0.5000
Si 0.0000 0.1184 0.6954
Si 0.8162 0.8162 0.1838
Si 0.6954 0.0000 0.1184
Si 0.6838 0.3162 0.3162
Si 0.5000 0.1954 0.6184
Si 0.5000 0.0000 0.2500
Si 0.8046 0.3816 0.5000
Si 0.8816 0.3046 0.0000
Si 0.3046 0.0000 0.8816
Si 0.1838 0.1838 0.8162
Si 0.8162 0.1838 0.1838
Xe 0.0000 0.5000 0.7500
Si 0.3816 0.5000 0.8046
Si 0.7500 0.5000 0.0000
Si 0.1954 0.3816 0.5000
Xe 0.0000 0.5000 0.2500
Si 0.5000 0.8046 0.6184
Si 0.1838 0.8162 0.8162
Si 0.1838 0.1838 0.1838
Si 0.3162 0.6838 0.3162
Si 0.1954 0.6184 0.5000
Si 0.1184 0.6954 0.0000
Si 0.3046 0.0000 0.1184
Si 0.0000 0.1184 0.3046
Si 0.5000 0.0000 0.7500
Si 0.2500 0.5000 0.0000
Si 0.6184 0.5000 0.8046
Si 0.6838 0.6838 0.6838
Si 0.0000 0.2500 0.5000
Si 0.8046 0.6184 0.5000
Si 0.3162 0.3162 0.6838

Its symmetry is No. 223. The value obtained for the size of the total moment is 0.000 μB per cell. The total energy is -4.638 eV per atom.


The following is a GGA-PBE calculation of EuHoCo after structural relaxation, from Alexandria via LeMat-Bulk.

a b c (Å): 3.4229 3.4229 6.8668
angles (deg): 104.43 104.43 90.00
Positions (direct):
Ho 0.2892 0.2892 0.5783
Co 0.6779 0.6779 0.3558
Eu 0.0329 0.0329 0.0658

As for the formation energy from the elements: 0.0090 eV/atom. Its symmetry is No. 107. The value obtained for the size of the total moment is 6.653 μB per cell. The total energy is -7.310 eV per atom.


The following is a GGA-PBE calculation of PrNdPu2P4 after structural relaxation, from Alexandria via LeMat-Bulk.

a b c (Å): 5.7926 5.7926 7.0892
angles (deg): 114.12 114.12 89.99
Positions (direct):
P 0.4374 0.9373 0.0000
P 0.9373 0.4374 0.0000
Pr 0.9373 0.9373 0.0000
Nd 0.4373 0.4373 0.0000
P 0.6861 0.6861 0.4983
Pu 0.1871 0.6871 0.5000
P 0.1878 0.1878 0.5017
Pu 0.6871 0.1871 0.5000

As for the formation energy from the elements: -1.3011 eV/atom. Its symmetry is No. 139. The value obtained for the size of the total moment is 9.837 μB per cell. The total energy is -8.782 eV per atom.


The following is a GGA-PBE calculation of LaTb3Pr2 after structural relaxation, from Alexandria via LeMat-Bulk.

a b c (Å): 5.1652 8.1537 11.5185
angles (deg): 115.13 90.00 108.47
Positions (direct):
Pr 0.5408 0.0816 0.8710
La 0.1260 0.2520 0.1297
Tb 0.7107 0.4214 0.3815
Pr 0.7943 0.5885 0.1303
Tb 0.6229 0.2457 0.6191
Tb 0.0430 0.0860 0.3804
Tb 0.3771 0.7543 0.3809
Pr 0.2057 0.4115 0.8697
La 0.8740 0.7480 0.8703
Pr 0.4592 0.9184 0.1290
Tb 0.2893 0.5786 0.6185
Tb 0.9570 0.9140 0.6196

As for the formation energy from the elements: 0.0209 eV/atom. Its symmetry is No. 12. The distance to the lowest polymorph of the same formula is 0.000 eV/atom. The value obtained for the size of the total moment is 0.000 μB per cell. The total energy is -4.709 eV per atom.


The following is a GGA-PBE calculation of Ba6Hg2RhBr after structural relaxation, from Alexandria via LeMat-Bulk.

a b c (Å): 8.0172 9.0723 12.0932
angles (deg): 90.00 90.12 90.00
Positions (direct):
Ba 0.6578 0.2986 0.5674
Br 0.5000 0.0000 0.0000
Rh 0.5000 0.0000 0.5000
Hg 0.5496 0.6085 0.7428
Rh 0.0000 0.5000 0.0000
Ba 0.3183 0.6666 0.0655
Ba 0.8627 0.5388 0.2365
Ba 0.3422 0.7014 0.4326
Ba 0.8183 0.8334 0.5655
Hg 0.0496 0.8915 0.2428
Ba 0.1578 0.2014 0.0674
Ba 0.8422 0.7986 0.9326
Ba 0.6817 0.3334 0.9345
Ba 0.6373 0.0388 0.2635
Hg 0.9504 0.1085 0.7572
Ba 0.1373 0.4612 0.7635
Br 0.0000 0.5000 0.5000
Ba 0.3627 0.9612 0.7365
Hg 0.4504 0.3915 0.2572
Ba 0.1817 0.1666 0.4345

Its symmetry is No. 14. The value obtained for the size of the total moment is 0.000 μB per cell. The total energy is -2.723 eV per atom.


The following is a GGA-PBE calculation of CeZn4Ni4 after structural relaxation, from Alexandria via LeMat-Bulk.

a b c (Å): 4.0944 8.0821 8.0821
angles (deg): 90.00 90.00 90.00
Positions (direct):
Ni 0.0018 0.3794 0.7075
Ni 0.9982 0.7075 0.6206
Zn 0.0018 0.6220 0.9029
Ce 0.0000 0.0000 0.0000
Ni 0.4982 0.1206 0.7925
Ni 0.5018 0.2075 0.1206
Ni 0.5018 0.7925 0.8794
Ce 0.5000 0.5000 0.5000
Zn 0.5018 0.5971 0.1220
Ni 0.0018 0.6206 0.2925
Zn 0.0018 0.3780 0.0971
Zn 0.9982 0.9029 0.3780
Zn 0.9982 0.0971 0.6220
Zn 0.4982 0.8780 0.5971
Ni 0.9982 0.2925 0.3794
Zn 0.5018 0.4029 0.8780
Ni 0.4982 0.8794 0.2075
Zn 0.4982 0.1220 0.4029

As for the formation energy from the elements: -0.1259 eV/atom. Its symmetry is No. 86. The value obtained for the size of the total moment is 0.001 μB per cell. The total energy is -3.921 eV per atom.


The following is a GGA-PBE calculation of Ga8Cu3Pt2 after structural relaxation, from Alexandria via LeMat-Bulk.

a b c (Å): 4.0670 8.3323 7.6451
angles (deg): 123.52 90.00 90.00
Positions (direct):
Ga 0.0000 0.8509 0.7028
Ga 0.0000 0.3978 0.7969
Ga 0.0000 0.1491 0.2972
Pt 0.5000 0.7245 0.4478
Ga 0.5000 0.8932 0.2585
Ga 0.5000 0.3652 0.2616
Pt 0.5000 0.2755 0.5522
Cu 0.5000 0.0000 0.0000
Cu 0.0000 0.7846 0.9990
Ga 0.5000 0.6348 0.7384
Ga 0.5000 0.1068 0.7415
Cu 0.0000 0.2154 0.0010
Ga 0.0000 0.6022 0.2031

As for the formation energy from the elements: -0.2856 eV/atom. Its symmetry is No. 10. The value obtained for the size of the total moment is 0.000 μB per cell. The total energy is -4.023 eV per atom.


The following is a GGA-PBE calculation of Dy3HgTe after structural relaxation, from Alexandria via LeMat-Bulk.

a b c (Å): 4.4658 11.1044 6.3249
angles (deg): 90.00 90.00 90.00
Positions (direct):
Dy 0.0000 0.2923 0.3110
Dy 0.5000 0.5001 0.5608
Te 0.5000 0.8978 0.8110
Hg 0.0000 0.6408 0.3108
Dy 0.5000 0.1792 0.8110
Dy 0.5000 0.4999 0.0608
Dy 0.0000 0.7077 0.8110
Te 0.5000 0.1022 0.3110
Hg 0.0000 0.3592 0.8108
Dy 0.5000 0.8208 0.3110

Its symmetry is No. 51. The distance to the lowest polymorph of the same formula is 0.087 eV/atom. The value obtained for the size of the total moment is 0.000 μB per cell. The total energy is -4.029 eV per atom.


The following is a GGA-PBE calculation of Zr2Al2Ni after structural relaxation, from Alexandria via LeMat-Bulk.

a b c (Å): 5.4961 5.4961 6.9460
angles (deg): 78.01 78.01 60.32
Positions (direct):
Al 0.0129 0.2364 0.0094
Zr 0.5376 0.7470 0.8554
Al 0.9871 0.7636 0.9906
Ni 0.8082 0.1918 0.7500
Zr 0.4624 0.2530 0.1446
Zr 0.7470 0.5376 0.3554
Al 0.2364 0.0129 0.5094
Ni 0.1918 0.8082 0.2500
Al 0.7636 0.9871 0.4906
Zr 0.2530 0.4624 0.6446

As for the formation energy from the elements: -0.4996 eV/atom. Its symmetry is No. 15. The distance to the lowest polymorph of the same formula is 0.000 eV/atom. The value obtained for the size of the total moment is 0.000 μB per cell. The total energy is -6.572 eV per atom.


The following is a GGA-PBE calculation of Al2Zn4Ag after structural relaxation, from Alexandria via LeMat-Bulk.

a b c (Å): 2.8833 2.8833 16.2677
angles (deg): 84.92 84.92 60.00
Positions (direct):
Zn 0.8555 0.8555 0.4336
Zn 0.2870 0.2870 0.1390
Al 0.2341 0.2341 0.2978
Ag 0.0000 0.0000 0.0000
Al 0.7659 0.7659 0.7022
Zn 0.7130 0.7130 0.8610
Zn 0.1445 0.1445 0.5664

As for the formation energy from the elements: 0.0686 eV/atom. Its symmetry is No. 166. The distance to the lowest polymorph of the same formula is 0.000 eV/atom. The value obtained for the size of the total moment is 0.000 μB per cell. The total energy is -2.136 eV per atom.


The following is a GGA-PBE calculation of Bi2AsRu after structural relaxation, from Alexandria via LeMat-Bulk.

a b c (Å): 6.3541 6.3541 7.7147
angles (deg): 65.68 65.68 90.00
Positions (direct):
Ru 0.7500 0.2500 0.5000
Bi 0.6573 0.1250 0.2500
As 0.5000 0.5000 0.0000
As 0.2500 0.7500 0.5000
Bi 0.0927 0.6250 0.2500
Bi 0.3750 0.3427 0.7500
Bi 0.8750 0.9073 0.7500
Ru 0.0000 0.0000 0.0000

As for the formation energy from the elements: 0.5085 eV/atom. Its symmetry is No. 122. The value obtained for the size of the total moment is 0.000 μB per cell. The total energy is -4.913 eV per atom.


The following is a GGA-PBE calculation of Sm5YSb5 after structural relaxation, from Alexandria via LeMat-Bulk.

a b c (Å): 6.2566 7.6430 8.8285
angles (deg): 106.89 90.00 114.16
Positions (direct):
Sb 0.1655 0.3310 0.3325
Sm 0.3350 0.6700 0.1682
Sm 0.0000 0.0000 0.5000
Sb 0.8345 0.6690 0.6675
Sb 0.1667 0.3333 0.8344
Sm 0.6650 0.3300 0.8318
Sm 0.6690 0.3379 0.3331
Sb 0.8333 0.6667 0.1656
Sb 0.5000 0.0000 0.0000
Sm 0.3310 0.6621 0.6669
Y 0.0000 0.0000 0.0000

Its symmetry is No. 12. The value obtained for the size of the total moment is 0.000 μB per cell. The total energy is -5.594 eV per atom.